Entry 1:
Material: Al2CrFe
Method: DFT, PBE
State: optimized geometry

```
Al2CrFe
1.0
4.751 -0.002 0.000
1.975 4.321 0.000
-3.363 -2.160 2.569
Fe Cr Al
1 1 2
Direct
0.750 0.250 0.500
0.500 0.500 0.000
0.250 0.750 0.500
0.000 0.000 0.000
```

Calculated values
Electronic total energy (eV/atom): -6.47
Space-group type: No. 119



Entry 2:
Material: AlCrFe2
Method: DFT, PBE
State: optimized geometry

```
AlCrFe2
1.0
4.550 0.102 0.000
1.642 4.245 0.000
-3.096 -2.174 2.531
Fe Al Cr
2 1 1
Direct
0.000 0.000 0.000
0.250 0.750 0.500
0.500 0.500 0.000
0.750 0.250 0.500
```

Calculated values
Space-group type: No. 119
Excess energy over the best structure of this formula in the dataset (meV per atom): 126



Entry 3:
Material: Al2CrFe
Method: DFT, PBE
State: optimized geometry

```
Al2CrFe
1.0
6.643 0.000 0.000
0.000 6.643 0.000
3.321 3.321 2.646
Fe Cr Al
2 2 4
Direct
0.750 0.250 0.500
0.000 0.000 0.000
0.500 0.500 0.000
0.250 0.750 0.500
0.638 0.125 0.250
0.112 0.625 0.250
0.875 0.888 0.750
0.375 0.362 0.750
```

Calculated values
Electronic total energy (eV/atom): -6.02
Space-group type: No. 122



Entry 4:
Material: Al2CrFe
Method: DFT, PBE
State: optimized geometry

```
Al2CrFe
1.0
2.584 0.174 0.000
-0.666 2.502 0.000
0.000 0.000 7.803
Al Cr Fe
2 1 1
Direct
0.000 0.000 0.507
0.000 0.000 0.993
0.500 0.500 0.250
0.500 0.500 0.750
```

Calculated values
Electronic total energy (eV/atom): -6.53
Space-group type: No. 65



Entry 5:
Material: AlCrFeGe
Method: DFT, PBE
State: optimized geometry

```
AlCrFeGe
1.0
4.163 0.000 0.000
2.081 3.605 0.000
2.081 1.202 3.399
Ge Cr Fe Al
1 1 1 1
Direct
0.750 0.750 0.750
0.500 0.500 0.500
0.000 0.000 0.000
0.250 0.250 0.250
```

Calculated values
Electronic total energy (eV/atom): -6.67
Space-group type: No. 216



Entry 6:
Material: AlCr2FeH
Method: DFT, PBE
State: optimized geometry

```
AlCr2FeH
1.0
-2.813 1.337 1.861
0.449 -2.569 2.524
2.404 2.339 1.953
H Fe Al Cr
1 1 1 2
Direct
0.000 0.000 0.000
0.000 0.000 0.500
0.500 0.500 0.500
0.000 0.500 0.000
0.500 0.000 0.000
```

Calculated values
Electronic total energy (eV/atom): -6.96
Space-group type: No. 123



Entry 7:
Material: AlCrFe2H
Method: DFT, PBE
State: optimized geometry

```
AlCrFe2H
1.0
-0.883 -0.952 -3.416
3.190 -1.752 -0.336
-1.614 -3.190 1.306
H Al Fe Cr
1 1 2 1
Direct
0.000 0.000 0.000
0.500 0.500 0.500
0.000 0.500 0.000
0.500 0.000 0.000
0.000 0.000 0.500
```

Calculated values
Electronic total energy (eV/atom): -6.79
Space-group type: No. 123



Entry 8:
Material: Li2AlCrFe
Method: DFT, PBE
State: optimized geometry

```
Li2AlCrFe
1.0
4.337 0.000 0.000
0.000 4.456 0.000
0.000 0.000 4.337
Li Fe Al Cr
2 1 1 1
Direct
0.000 0.000 0.500
0.500 0.000 0.000
0.000 0.500 0.000
0.000 0.000 0.000
0.500 0.500 0.500
```

Calculated values
Electronic total energy (eV/atom): -3.87
Space-group type: No. 123



Entry 9:
Material: LiAlCrFe
Method: DFT, PBE
State: optimized geometry

```
LiAlCrFe
1.0
-2.542 -2.619 1.691
1.165 -2.163 3.184
-1.556 0.765 3.629
Al Fe Li Cr
1 1 1 1
Direct
0.750 0.750 0.750
0.500 0.500 0.500
0.000 0.000 0.000
0.250 0.250 0.250
```

Calculated values
Electronic total energy (eV/atom): -6.00
Space-group type: No. 216



Entry 10:
Material: MnAlCrFe
Method: DFT, PBE
State: optimized geometry

```
MnAlCrFe
1.0
-1.270 2.881 -2.481
-1.603 -0.970 -3.544
-3.925 0.514 -0.632
Al Fe Cr Mn
1 1 1 1
Direct
0.250 0.250 0.250
0.500 0.500 0.500
0.750 0.750 0.750
0.000 0.000 0.000
```

Calculated values
Electronic total energy (eV/atom): -7.92
Space-group type: No. 216



Entry 11:
Material: NbAlCrFe
Method: DFT, PBE
State: optimized geometry

```
NbAlCrFe
1.0
4.266 0.000 0.000
2.133 3.694 0.000
2.133 1.231 3.483
Al Nb Fe Cr
1 1 1 1
Direct
0.500 0.500 0.500
0.000 0.000 0.000
0.250 0.250 0.250
0.750 0.750 0.750
```

Calculated values
Electronic total energy (eV/atom): -8.14
Space-group type: No. 216



Entry 12:
Material: AlCrFeNi
Method: DFT, PBE
State: optimized geometry

```
AlCrFeNi
1.0
-3.590 1.755 -0.681
-3.248 -1.131 2.145
-1.583 2.513 2.758
Ni Cr Al Fe
1 1 1 1
Direct
0.250 0.250 0.250
0.000 0.000 0.000
0.500 0.500 0.500
0.750 0.750 0.750
```

Calculated values
Electronic total energy (eV/atom): -7.09
Space-group type: No. 216



no.,Fermi-level density of states (states/eV/atom)
1,1.0287
2,1.1441
3,0.3391
4,0.4985
5,0.3739
6,1.0651
7,0.8826
8,1.4572
9,0.1296
10,0.8800
11,0.9249
12,0.8142